[1]
Material: YGeSe3
Method: DFT, PBE
State: optimized geometry

The value obtained for the relative energy among the computed polymorphs is 0.0710 eV per atom. The final energy comes out at -5.244 eV per atom. The uncorrected formation energy is -0.94 eV per atom. As for the total magnetization: 0.0 μB per cell.

Unit cell a=7.370 b=6.688 c=10.872 alpha=90.00 beta=90.00 gamma=90.00
Atoms (fractional coordinates):
Y 0.130 0.083 0.000
Y 0.370 0.583 0.500
Y 0.630 0.417 0.000
Y 0.870 0.917 0.500
Ge 0.105 0.556 0.160
Ge 0.395 0.056 0.660
Ge 0.605 0.944 0.160
Ge 0.895 0.444 0.660
Se 0.123 0.754 0.676
Se 0.125 0.247 0.526
Se 0.145 0.787 0.332
Se 0.355 0.287 0.832
Se 0.375 0.747 0.026
Se 0.377 0.254 0.176
Se 0.623 0.746 0.676
Se 0.625 0.253 0.526
Se 0.645 0.713 0.332
Se 0.855 0.213 0.832
Se 0.875 0.753 0.026
Se 0.877 0.246 0.176

---

[2]
Material: Mn2HgCl8
Method: DFT, PBE
State: optimized geometry

The value obtained for the relative energy among the computed polymorphs is 0.0919 eV per atom. The final energy comes out at -3.777 eV per atom. The uncorrected formation energy is -0.74 eV per atom. As for the total magnetization: 8.0 μB per cell.

Unit cell a=7.713 b=7.713 c=6.435 alpha=101.36 beta=101.36 gamma=75.35
Atoms (fractional coordinates):
Mn 0.201 0.201 0.182
Mn 0.799 0.799 0.818
Hg 0.000 0.000 0.500
Cl 0.075 0.713 0.707
Cl 0.201 0.201 0.836
Cl 0.287 0.925 0.293
Cl 0.381 0.381 0.321
Cl 0.619 0.619 0.679
Cl 0.713 0.075 0.707
Cl 0.799 0.799 0.164
Cl 0.925 0.287 0.293

---

[3]
Material: K4La3ZrSe8
Method: DFT, PBE
State: optimized geometry

The final energy comes out at -5.146 eV per atom. The uncorrected formation energy is -1.67 eV per atom. As for the total magnetization: 0.9 μB per cell.

Unit cell a=9.177 b=9.177 c=9.177 alpha=56.21 beta=56.21 gamma=56.21
Atoms (fractional coordinates):
K 0.000 0.000 0.000
K 0.000 0.500 0.500
K 0.500 0.000 0.500
K 0.500 0.500 0.000
La 0.000 0.000 0.500
La 0.000 0.500 0.000
La 0.500 0.000 0.000
Zr 0.500 0.500 0.500
Se 0.239 0.239 0.239
Se 0.257 0.725 0.725
Se 0.275 0.275 0.743
Se 0.275 0.743 0.275
Se 0.725 0.257 0.725
Se 0.725 0.725 0.257
Se 0.743 0.275 0.275
Se 0.761 0.761 0.761

---

[4]
Material: LiC
Method: DFT, PBE
State: optimized geometry

The value obtained for the relative energy among the computed polymorphs is 0.3810 eV per atom. As for the formation energy: 0.797 eV per formula unit. The final energy comes out at -5.171 eV per atom. As for the total magnetization: 0.0 μB per cell.

Unit cell a=6.055 b=6.055 c=6.055 alpha=90.00 beta=90.00 gamma=90.00
Atoms (fractional coordinates):
Li 0.211 0.211 0.211
Li 0.211 0.789 0.789
Li 0.289 0.289 0.711
Li 0.289 0.711 0.289
Li 0.711 0.289 0.289
Li 0.711 0.711 0.711
Li 0.789 0.211 0.789
Li 0.789 0.789 0.211
C 0.091 0.091 0.909
C 0.091 0.909 0.091
C 0.409 0.409 0.409
C 0.409 0.591 0.591
C 0.591 0.409 0.591
C 0.591 0.591 0.409
C 0.909 0.091 0.091
C 0.909 0.909 0.909

---

[5]
Material: TlCuRu2
Method: DFT, PBE
State: optimized geometry

The value obtained for the relative energy among the computed polymorphs is 0.1021 eV per atom. As for the formation energy: 1.913 eV per formula unit. The final energy comes out at -5.775 eV per atom. As for the total magnetization: 0.0 μB per cell.

Unit cell a=8.851 b=2.930 c=4.963 alpha=90.00 beta=98.95 gamma=90.00
Atoms (fractional coordinates):
Tl 0.000 0.000 0.000
Tl 0.500 0.500 0.000
Cu 0.245 0.000 0.760
Cu 0.745 0.500 0.760
Ru 0.255 0.500 0.320
Ru 0.498 0.000 0.499
Ru 0.755 0.000 0.320
Ru 0.998 0.500 0.499

---

[6]
Material: CsNa3Ge
Method: DFT, PBE
State: optimized geometry

The value obtained for the relative energy among the computed polymorphs is 0.0167 eV per atom. As for the formation energy: 0.033 eV per formula unit. The final energy comes out at -1.879 eV per atom. As for the total magnetization: 0.0 μB per cell.

Unit cell a=10.660 b=10.660 c=7.639 alpha=100.62 beta=100.62 gamma=63.46
Atoms (fractional coordinates):
Cs 0.001 0.999 0.750
Cs 0.360 0.640 0.750
Cs 0.640 0.360 0.250
Cs 0.999 0.001 0.250
Na 0.007 0.357 0.604
Na 0.012 0.348 0.074
Na 0.330 0.332 0.416
Na 0.332 0.330 0.916
Na 0.348 0.012 0.574
Na 0.357 0.007 0.104
Na 0.643 0.993 0.896
Na 0.652 0.988 0.426
Na 0.668 0.670 0.084
Na 0.670 0.668 0.584
Na 0.988 0.652 0.926
Na 0.993 0.643 0.396
Ge 0.248 0.614 0.221
Ge 0.386 0.752 0.279
Ge 0.614 0.248 0.721
Ge 0.752 0.386 0.779

---

Q: The lowest final energy belongs to which entry?
A: TlCuRu2

---

Q: Look up the final energy of the third one.
A: -5.146 eV per atom